First-principles (PBE) data for crystalline NdZn2GaNi2 at its relaxed geometry, as listed in the Alexandria database.

Output
- ΔE_f: -144 meV/atom
- Volume: 18.40 Å³/atom
- Total energy: -22.77 eV per cell

Unit cell a=4.4069 b=4.4069 c=5.6832 alpha=90.00 beta=90.00 gamma=90.00
Space group P4/mmm (No. 123)
One atom of each set of equivalent atoms:
Nd1 0.0000 0.0000 0.0000 (multiplicity 1)
Zn1 0.5000 0.5000 0.2502 (multiplicity 2)
Ga1 0.0000 0.0000 0.5000 (multiplicity 1)
Ni1 0.0000 0.5000 0.5000 (multiplicity 2)

First-principles (PBE) data for crystalline NdZn2GaNi at its relaxed geometry, as listed in the Alexandria database.

Output
- ΔE_f: -399 meV/atom
- Volume: 18.29 Å³/atom
- Total energy: -36.23 eV per cell

Unit cell a=4.0607 b=4.2128 c=10.6926 alpha=90.00 beta=90.00 gamma=90.00
Space group Imm2 (No. 44)
One atom of each set of equivalent atoms:
Nd1 0.0000 0.0000 0.0000 (multiplicity 2)
Zn1 0.0000 0.0000 0.6102 (multiplicity 2)
Zn2 0.0000 0.5000 0.2616 (multiplicity 2)
Ga1 0.0000 0.5000 0.7597 (multiplicity 2)
Ni1 0.0000 0.0000 0.3848 (multiplicity 2)

First-principles (PBE) data for crystalline Nd2ZnGa2Ni5 at its relaxed geometry, as listed in the Alexandria database.

Output
- ΔE_f: -238 meV/atom
- Volume: 16.12 Å³/atom
- Total energy: -96.31 eV per cell

Unit cell a=9.9472 b=9.9472 c=3.2593 alpha=90.00 beta=90.00 gamma=90.00
Space group P4/mbm (No. 127)
One atom of each set of equivalent atoms:
Nd1 0.1758 0.3242 0.0000 (multiplicity 4)
Zn1 0.0000 0.0000 0.0000 (multiplicity 2)
Ga1 0.1243 0.6243 0.0000 (multiplicity 4)
Ni1 0.0000 0.5000 0.5000 (multiplicity 2)
Ni2 0.0532 0.8027 0.5000 (multiplicity 8)

First-principles (PBE) data for crystalline NdNpGa2 at its relaxed geometry, as listed in the Alexandria database.

Output
- ΔE_f: 273 meV/atom
- Volume: 23.73 Å³/atom
- Total energy: -68.01 eV per cell

Unit cell a=3.0903 b=3.0903 c=34.4259 alpha=90.00 beta=90.00 gamma=120.00
Space group R-3m (No. 166, hexagonal axes)
One atom of each set of equivalent atoms:
Nd1 0.0000 0.0000 0.0000 (multiplicity 3)
Np1 0.0000 0.0000 0.5000 (multiplicity 3)
Ga1 0.0000 0.0000 0.0896 (multiplicity 6)